The following is a DFT calculation (PBE) of an optimized crystal structure of PtAu2Br.

As for the energy above the most stable polymorph in this dataset: 281.3 meV per atom. The formation energy from raw total energies is 0.504 eV per atom. The calculation puts the density of states at the Fermi level at 1.0101 states/eV/atom. The calculated volume comes out at 77.4 Å³/f.u.

It has space group P4/mmm (No. 123), with a = 5.252 Å, b = 5.252 Å, c = 2.805 Å, α = 90.00°, β = 90.00° and γ = 90.00°. The asymmetric unit holds Pt at (0.000, 0.000, 0.000), Au at (0.000, 0.500, 0.500) and Br at (0.500, 0.500, 0.000).